Here is an optimized crystal structure of Cs12Zn3F5 from Alexandria. Energies are from GGA-PBE.

Computed properties:
The density of states at the Fermi level comes out at 0.70 states/eV per atom. As for the space group: Ia-3d. Its formation energy (no corrections) is -1.189 eV per atom. As for the total magnetization: 7.8 μB/cell. For the total energy, the calculation gives -2.36 eV/atom.

```
Cs12Zn3F5
1.0
-10.2618 -13.6993 -2.3522
14.8912 -2.4469 -8.4126
3.1735 1.9901 16.8664
Cs Zn F
48 12 20
direct
0.8961 0.8176 0.5104 Cs
0.1039 0.9215 0.1143 Cs
0.8073 0.4896 0.3857 Cs
0.4215 0.3073 0.3176 Cs
0.8176 0.8961 0.0104 Cs
0.8961 0.0785 0.8857 Cs
0.3176 0.8073 0.4215 Cs
0.1824 0.1039 0.9896 Cs
0.8073 0.3176 0.9215 Cs
0.8857 0.5785 0.8961 Cs
0.3073 0.8857 0.9896 Cs
0.3857 0.9896 0.8073 Cs
0.0104 0.6143 0.6927 Cs
0.1039 0.1824 0.4896 Cs
0.5785 0.8857 0.3961 Cs
0.5104 0.3176 0.8961 Cs
0.0785 0.1824 0.1927 Cs
0.6039 0.6143 0.4215 Cs
0.9215 0.8176 0.8073 Cs
0.6039 0.9896 0.6824 Cs
0.6927 0.5785 0.1824 Cs
0.5104 0.1927 0.1143 Cs
0.3176 0.5104 0.3961 Cs
0.4896 0.8073 0.8857 Cs
0.4896 0.6824 0.1039 Cs
0.1927 0.6824 0.0785 Cs
0.6143 0.0104 0.1927 Cs
0.9896 0.6039 0.1824 Cs
0.3857 0.3961 0.0785 Cs
0.3961 0.0104 0.3176 Cs
0.3961 0.3857 0.5785 Cs
0.0785 0.8961 0.3857 Cs
0.9896 0.3857 0.3073 Cs
0.6824 0.1927 0.5785 Cs
0.0104 0.3961 0.8176 Cs
0.6143 0.6039 0.9215 Cs
0.1927 0.5104 0.6143 Cs
0.9215 0.1039 0.6143 Cs
0.8857 0.3073 0.4896 Cs
0.5785 0.6927 0.6824 Cs
0.1143 0.6927 0.5104 Cs
0.6927 0.1143 0.0104 Cs
0.1143 0.4215 0.1039 Cs
0.3073 0.4215 0.8176 Cs
0.4215 0.1143 0.6039 Cs
0.6824 0.4896 0.6039 Cs
0.1824 0.0785 0.6927 Cs
0.8176 0.9215 0.3073 Cs
0.8750 0.7500 0.1250 Zn
0.3750 0.7500 0.6250 Zn
0.1250 0.2500 0.8750 Zn
0.7500 0.8750 0.6250 Zn
0.3750 0.6250 0.2500 Zn
0.7500 0.3750 0.1250 Zn
0.2500 0.1250 0.3750 Zn
0.2500 0.6250 0.8750 Zn
0.8750 0.1250 0.2500 Zn
0.6250 0.2500 0.3750 Zn
0.6250 0.3750 0.7500 Zn
0.1250 0.8750 0.7500 Zn
0.5000 0.5000 0.5000 F
0.5000 0.0000 0.5000 F
0.2500 0.3750 0.6250 F
0.8750 0.2500 0.6250 F
0.8750 0.6250 0.7500 F
0.6250 0.7500 0.8750 F
0.7500 0.1250 0.8750 F
0.0000 0.0000 0.0000 F
0.6250 0.8750 0.2500 F
0.0000 0.0000 0.5000 F
0.3750 0.2500 0.1250 F
0.3750 0.1250 0.7500 F
0.1250 0.3750 0.2500 F
0.1250 0.7500 0.3750 F
0.7500 0.6250 0.3750 F
0.0000 0.5000 0.5000 F
0.5000 0.5000 0.0000 F
0.2500 0.8750 0.1250 F
0.5000 0.0000 0.0000 F
0.0000 0.5000 0.0000 F
```